Entry 1:
## ScCl3O (PBE-GGA)

Data for ScCl3O after structural relaxation.

Cell lengths 4.980, 4.980, 4.980 Å; angles 90.00, 90.00, 90.00 degrees
Positions (direct):
Sc: 0.000 0.000 0.000
Cl: 0.000 0.000 0.500
Cl: 0.000 0.500 0.000
Cl: 0.500 0.000 0.000
O: 0.500 0.500 0.500

As for the crystal system: cubic. The calculation puts the magnetic moment at 0.4000 μB per atom. The formation energy (no corrections) comes out at -946 meV per atom. Its density of states at the Fermi level is 16.07 states/eV/f.u.

***

Entry 2:
## UTaTi (PBE-GGA)

Data for UTaTi after structural relaxation.

Cell lengths 7.006, 7.006, 5.152 Å; angles 90.00, 90.00, 90.00 degrees
Positions (direct):
U: 0.000 0.243 0.000
U: 0.000 0.757 0.000
U: 0.243 0.000 0.500
U: 0.757 0.000 0.500
Ta: 0.000 0.320 0.500
Ta: 0.000 0.680 0.500
Ta: 0.320 0.000 0.000
Ta: 0.680 0.000 0.000
Ti: 0.313 0.500 0.000
Ti: 0.500 0.313 0.500
Ti: 0.500 0.687 0.500
Ti: 0.687 0.500 0.000

As for the crystal system: tetragonal. The calculation puts the magnetic moment at 0.0015 μB per atom. Its density of states at the Fermi level is 6.21 states/eV/f.u. The calculation puts the energy of formation at 0.992 eV/atom.

***

Entry 3:
## K5Re (PBE-GGA)

Data for K5Re after structural relaxation.

Cell lengths 7.433, 7.433, 6.408 Å; angles 90.00, 90.00, 120.00 degrees
Positions (direct):
K: 0.000 0.708 0.000
K: 0.292 0.292 0.000
K: 0.333 0.667 0.500
K: 0.667 0.333 0.500
K: 0.708 0.000 0.000
Re: 0.000 0.000 0.500

As for the crystal system: hexagonal. The calculation puts the magnetic moment at 0.6209 μB per atom. Its density of states at the Fermi level is 5.46 states/eV/f.u. The calculation puts the energy of formation at 1.023 eV/atom.

***

Entry 4:
## SrTbZn4 (PBE-GGA)

Data for SrTbZn4 after structural relaxation.

Cell lengths 5.618, 5.618, 5.618 Å; angles 60.00, 60.00, 60.00 degrees
Positions (direct):
Sr: 0.000 0.000 0.000
Tb: 0.750 0.750 0.750
Zn: 0.377 0.377 0.377
Zn: 0.377 0.377 0.870
Zn: 0.377 0.870 0.377
Zn: 0.870 0.377 0.377

As for the crystal system: cubic. The calculation puts the magnetic moment at 0.0000 μB per atom. Its density of states at the Fermi level is 4.27 states/eV/f.u. The calculation puts the energy of formation at -0.206 eV/atom.

***

Entry 5:
## SrTc2 (PBE-GGA)

Data for SrTc2 after structural relaxation.

Cell lengths 5.014, 5.014, 9.601 Å; angles 105.71, 105.71, 37.00 degrees
Positions (direct):
Sr: 0.167 0.167 0.155
Sr: 0.833 0.833 0.845
Tc: 0.167 0.167 0.549
Tc: 0.495 0.495 0.645
Tc: 0.505 0.505 0.355
Tc: 0.833 0.833 0.451

As for the crystal system: monoclinic. The calculation puts the magnetic moment at 0.0000 μB per atom. Its density of states at the Fermi level is 3.50 states/eV/f.u. The calculation puts the energy of formation at 0.544 eV/atom.

***

Entry 6:
## CdHPt2 (PBE-GGA)

Data for CdHPt2 after structural relaxation.

Cell lengths 5.507, 5.507, 5.507 Å; angles 119.44, 100.53, 109.01 degrees
Positions (direct):
Cd: 0.383 0.133 0.250
Cd: 0.617 0.867 0.750
H: 0.195 0.445 0.750
H: 0.805 0.555 0.250
Pt: 0.000 0.000 0.500
Pt: 0.000 0.500 0.000
Pt: 0.000 0.500 0.500
Pt: 0.500 0.500 0.000

As for the crystal system: orthorhombic. The calculation puts the magnetic moment at 0.0000 μB per atom. As for the calculated total energy: -32.67 eV per cell. Its density of states at the Fermi level is 1.41 states/eV/f.u.

***

Entry 7:
## Y3TmRu (PBE-GGA)

Data for Y3TmRu after structural relaxation.

Cell lengths 6.289, 6.289, 12.878 Å; angles 112.11, 112.11, 36.23 degrees
Positions (direct):
Y: 0.000 0.000 0.000
Y: 0.023 0.023 0.380
Y: 0.331 0.331 0.763
Y: 0.361 0.361 0.137
Y: 0.688 0.688 0.238
Y: 0.796 0.796 0.521
Tm: 0.552 0.552 0.624
Tm: 0.672 0.672 0.902
Ru: 0.003 0.003 0.764
Ru: 0.359 0.359 0.389

As for the crystal system: monoclinic. The calculation puts the magnetic moment at 0.0000 μB per atom. Its density of states at the Fermi level is 5.63 states/eV/f.u. The calculation puts the energy of formation at -0.222 eV/atom.

***

Entry 8:
## LaTa3W (PBE-GGA)

Data for LaTa3W after structural relaxation.

Cell lengths 4.824, 4.824, 4.824 Å; angles 90.00, 90.00, 90.00 degrees
Positions (direct):
La: 0.000 0.000 0.000
Ta: 0.000 0.000 0.500
Ta: 0.000 0.500 0.000
Ta: 0.500 0.000 0.000
W: 0.500 0.500 0.500

As for the crystal system: cubic. The calculation puts the magnetic moment at 0.0002 μB per atom. Its density of states at the Fermi level is 5.65 states/eV/f.u. The calculation puts the energy of formation at 2.635 eV/atom.

***

Entry 9:
## BeHF2 (PBE-GGA)

Data for BeHF2 after structural relaxation.

Cell lengths 6.380, 6.380, 6.380 Å; angles 29.73, 29.73, 29.73 degrees
Positions (direct):
Be: 0.000 0.000 0.000
H: 0.500 0.500 0.500
F: 0.075 0.075 0.075
F: 0.925 0.925 0.925

As for the crystal system: trigonal. The calculation puts the magnetic moment at 0.2500 μB per atom. As for the calculated total energy: -15.69 eV per cell. Its density of states at the Fermi level is 0.00 states/eV/f.u.

***

Entry 10:
## Y4HgTeC (PBE-GGA)

Data for Y4HgTeC after structural relaxation.

Cell lengths 8.495, 8.495, 6.808 Å; angles 90.00, 90.00, 132.76 degrees
Positions (direct):
Y: 0.000 0.500 0.000
Y: 0.000 0.500 0.500
Y: 0.083 0.917 0.750
Y: 0.407 0.593 0.750
Y: 0.500 0.000 0.000
Y: 0.500 0.000 0.500
Y: 0.593 0.407 0.250
Y: 0.917 0.083 0.250
Hg: 0.115 0.885 0.250
Hg: 0.885 0.115 0.750
Te: 0.391 0.609 0.250
Te: 0.609 0.391 0.750
C: 0.249 0.751 0.750
C: 0.751 0.249 0.250

As for the crystal system: orthorhombic. The calculation puts the magnetic moment at 0.0000 μB per atom. The formation energy (no corrections) comes out at -654 meV per atom. Its density of states at the Fermi level is 2.70 states/eV/f.u.

***

Entry 11:
## Tb6Nd2ErMg (PBE-GGA)

Data for Tb6Nd2ErMg after structural relaxation.

Cell lengths 11.039, 11.039, 6.626 Å; angles 93.92, 93.92, 126.64 degrees
Positions (direct):
Tb: 0.084 0.561 0.277
Tb: 0.089 0.795 0.973
Tb: 0.205 0.911 0.527
Tb: 0.298 0.468 0.017
Tb: 0.439 0.916 0.223
Tb: 0.468 0.298 0.517
Tb: 0.532 0.702 0.483
Tb: 0.561 0.084 0.777
Tb: 0.702 0.532 0.983
Tb: 0.795 0.089 0.473
Tb: 0.911 0.205 0.027
Tb: 0.916 0.439 0.723
Nd: 0.183 0.348 0.504
Nd: 0.348 0.183 0.004
Nd: 0.652 0.817 0.996
Nd: 0.817 0.652 0.496
Er: 0.006 0.994 0.250
Er: 0.994 0.006 0.750
Mg: 0.294 0.706 0.750
Mg: 0.706 0.294 0.250

As for the crystal system: monoclinic. The calculation puts the magnetic moment at 0.0000 μB per atom. Its density of states at the Fermi level is 14.57 states/eV/f.u. The calculation puts the energy of formation at 0.100 eV/atom.

***

Entry 12:
## LaHfF7 (PBE-GGA)

Data for LaHfF7 after structural relaxation.

Cell lengths 6.339, 5.976, 8.584 Å; angles 90.00, 102.60, 90.00 degrees
Positions (direct):
La: 0.159 0.000 0.190
La: 0.841 0.500 0.810
Hf: 0.312 0.008 0.724
Hf: 0.688 0.508 0.276
F: 0.051 0.694 0.021
F: 0.078 0.778 0.710
F: 0.099 0.262 0.707
F: 0.268 0.002 0.485
F: 0.355 0.017 0.962
F: 0.453 0.276 0.256
F: 0.457 0.741 0.268
F: 0.543 0.241 0.732
F: 0.547 0.776 0.744
F: 0.645 0.517 0.038
F: 0.732 0.502 0.515
F: 0.901 0.762 0.293
F: 0.922 0.278 0.290
F: 0.949 0.194 0.979

As for the crystal system: monoclinic. The calculation puts the magnetic moment at 0.0083 μB per atom. The formation energy (no corrections) comes out at -4011 meV per atom. Its density of states at the Fermi level is 0.00 states/eV/f.u.

***

Entry 13:
## BaLaMn2 (PBE-GGA)

Data for BaLaMn2 after structural relaxation.

Cell lengths 3.871, 3.941, 7.670 Å; angles 90.00, 90.00, 90.00 degrees
Positions (direct):
Ba: 0.000 0.000 0.000
La: 0.000 0.000 0.500
Mn: 0.500 0.500 0.314
Mn: 0.500 0.500 0.686

As for the crystal system: orthorhombic. The calculation puts the magnetic moment at 1.6418 μB per atom. Its density of states at the Fermi level is 5.16 states/eV/f.u. The calculation puts the energy of formation at 0.441 eV/atom.

***

Entry 14:
## AcPr4Dy7 (PBE-GGA)

Data for AcPr4Dy7 after structural relaxation.

Cell lengths 6.910, 6.910, 12.840 Å; angles 115.54, 115.54, 52.59 degrees
Positions (direct):
Ac: 0.000 0.000 0.000
Pr: 0.145 0.145 0.776
Pr: 0.433 0.433 0.676
Pr: 0.567 0.567 0.324
Pr: 0.855 0.855 0.224
Dy: 0.132 0.132 0.498
Dy: 0.275 0.275 0.333
Dy: 0.295 0.295 0.078
Dy: 0.500 0.500 0.000
Dy: 0.705 0.705 0.922
Dy: 0.725 0.725 0.667
Dy: 0.868 0.868 0.502

As for the crystal system: monoclinic. The calculation puts the magnetic moment at 0.0000 μB per atom. Its density of states at the Fermi level is 19.68 states/eV/f.u. The calculation puts the energy of formation at 0.282 eV/atom.

***

Entry 15:
## TiRe2TeRu (PBE-GGA)

Data for TiRe2TeRu after structural relaxation.

Cell lengths 4.536, 4.536, 4.896 Å; angles 90.00, 90.00, 90.00 degrees
Positions (direct):
Ti: 0.000 0.000 0.000
Re: 0.000 0.500 0.000
Re: 0.500 0.000 0.000
Te: 0.000 0.000 0.500
Ru: 0.500 0.500 0.500

As for the crystal system: tetragonal. The calculation puts the magnetic moment at 0.2232 μB per atom. The formation energy (no corrections) comes out at 1944 meV per atom. Its density of states at the Fermi level is 5.40 states/eV/f.u.

***

Entry 16:
## LiCaPuIn (PBE-GGA)

Data for LiCaPuIn after structural relaxation.

Cell lengths 5.398, 5.398, 5.398 Å; angles 60.00, 60.00, 60.00 degrees
Positions (direct):
Li: 0.000 0.000 0.000
Ca: 0.750 0.750 0.750
Pu: 0.250 0.250 0.250
In: 0.500 0.500 0.500

As for the crystal system: cubic. The calculation puts the magnetic moment at 1.4559 μB per atom. Its density of states at the Fermi level is 13.14 states/eV/f.u. The calculation puts the energy of formation at -0.020 eV/atom.

***

Entry 17:
## ErTh2Si2Rh7 (PBE-GGA)

Data for ErTh2Si2Rh7 after structural relaxation.

Cell lengths 4.089, 4.089, 13.072 Å; angles 95.71, 95.71, 89.39 degrees
Positions (direct):
Er: 0.000 0.000 0.000
Th: 0.100 0.100 0.347
Th: 0.900 0.900 0.653
Si: 0.422 0.422 0.749
Si: 0.578 0.578 0.251
Rh: 0.050 0.550 0.161
Rh: 0.348 0.348 0.568
Rh: 0.450 0.950 0.839
Rh: 0.500 0.500 0.000
Rh: 0.550 0.050 0.161
Rh: 0.652 0.652 0.432
Rh: 0.950 0.450 0.839

As for the crystal system: monoclinic. The calculation puts the magnetic moment at 0.0000 μB per atom. The formation energy (no corrections) comes out at -905 meV per atom. Its density of states at the Fermi level is 5.99 states/eV/f.u.

***

Entry 18:
## ReRhCl2 (PBE-GGA)

Data for ReRhCl2 after structural relaxation.

Cell lengths 9.295, 9.295, 9.295 Å; angles 18.59, 18.59, 18.59 degrees
Positions (direct):
Re: 0.000 0.000 0.000
Rh: 0.262 0.262 0.262
Cl: 0.524 0.524 0.524
Cl: 0.734 0.734 0.734

As for the crystal system: trigonal. The calculation puts the magnetic moment at 0.0000 μB per atom. The formation energy (no corrections) comes out at 138 meV per atom. Its density of states at the Fermi level is 4.23 states/eV/f.u.

***

Entry 19:
## LiZrSN2 (PBE-GGA)

Data for LiZrSN2 after structural relaxation.

Cell lengths 3.735, 3.735, 4.206 Å; angles 90.00, 90.00, 90.00 degrees
Positions (direct):
Li: 0.000 0.000 0.000
Zr: 0.500 0.500 0.500
S: 0.000 0.000 0.500
N: 0.000 0.500 0.000
N: 0.500 0.000 0.000

As for the crystal system: tetragonal. The calculation puts the magnetic moment at 0.0000 μB per atom. The formation energy (no corrections) comes out at 571 meV per atom. Its density of states at the Fermi level is 1.96 states/eV/f.u.

***

Entry 20:
## Ni2PBr (PBE-GGA)

Data for Ni2PBr after structural relaxation.

Cell lengths 3.007, 3.565, 7.054 Å; angles 90.00, 90.00, 90.00 degrees
Positions (direct):
Ni: 0.000 0.000 0.000
Ni: 0.500 0.000 0.500
P: 0.000 0.500 0.500
Br: 0.500 0.500 0.000

As for the crystal system: orthorhombic. The calculation puts the magnetic moment at 0.0067 μB per atom. The formation energy (no corrections) comes out at 433 meV per atom. Its density of states at the Fermi level is 4.46 states/eV/f.u.

***

Entry 21:
## Cs2TlIn7 (PBE-GGA)

Data for Cs2TlIn7 after structural relaxation.

Cell lengths 5.175, 5.175, 12.811 Å; angles 90.00, 90.00, 90.00 degrees
Positions (direct):
Cs: 0.000 0.500 0.249
Cs: 0.500 0.000 0.751
Tl: 0.000 0.000 0.500
In: 0.000 0.000 0.000
In: 0.000 0.500 0.634
In: 0.000 0.500 0.869
In: 0.500 0.000 0.131
In: 0.500 0.000 0.366
In: 0.500 0.500 0.000
In: 0.500 0.500 0.500

As for the crystal system: tetragonal. The calculation puts the magnetic moment at 0.0000 μB per atom. Its density of states at the Fermi level is 3.60 states/eV/f.u. The calculation puts the energy of formation at -0.109 eV/atom.

***

Entry 22:
## CsRb2Hg2Au2 (PBE-GGA)

Data for CsRb2Hg2Au2 after structural relaxation.

Cell lengths 13.858, 13.858, 13.858 Å; angles 21.18, 21.18, 21.18 degrees
Positions (direct):
Cs: 0.000 0.000 0.000
Rb: 0.115 0.115 0.115
Rb: 0.885 0.885 0.885
Hg: 0.271 0.271 0.271
Hg: 0.729 0.729 0.729
Au: 0.398 0.398 0.398
Au: 0.602 0.602 0.602

As for the crystal system: trigonal. The calculation puts the magnetic moment at 0.0000 μB per atom. Its density of states at the Fermi level is 2.40 states/eV/f.u. The calculation puts the energy of formation at -0.267 eV/atom.

***

Entry 23:
## Tb3Nd4Rh4 (PBE-GGA)

Data for Tb3Nd4Rh4 after structural relaxation.

Cell lengths 9.586, 9.586, 9.586 Å; angles 157.62, 123.81, 61.24 degrees
Positions (direct):
Tb: 0.000 0.000 0.000
Tb: 0.401 0.901 0.500
Tb: 0.599 0.099 0.500
Nd: 0.022 0.336 0.686
Nd: 0.350 0.664 0.686
Nd: 0.650 0.336 0.314
Nd: 0.978 0.664 0.314
Rh: 0.262 0.262 0.000
Rh: 0.282 0.500 0.782
Rh: 0.718 0.500 0.218
Rh: 0.738 0.738 0.000

As for the crystal system: orthorhombic. The calculation puts the magnetic moment at 0.0000 μB per atom. Its density of states at the Fermi level is 7.86 states/eV/f.u. The calculation puts the energy of formation at -0.510 eV/atom.

***

Entry 24:
## CdHg2SbOs (PBE-GGA)

Data for CdHg2SbOs after structural relaxation.

Cell lengths 5.212, 5.212, 5.226 Å; angles 90.00, 90.00, 90.00 degrees
Positions (direct):
Cd: 0.000 0.000 0.000
Hg: 0.000 0.500 0.000
Hg: 0.500 0.000 0.000
Sb: 0.500 0.500 0.500
Os: 0.000 0.000 0.500

As for the crystal system: tetragonal. The calculation puts the magnetic moment at 0.4328 μB per atom. The formation energy (no corrections) comes out at 1416 meV per atom. Its density of states at the Fermi level is 6.22 states/eV/f.u.